Computed, not measured: an optimized crystal structure of Ce5HoOs4 at the PBE level of DFT.

```
data_Ce5HoOs4
_chemical_formula_sum 'Ce5 Ho1 Os4'
_cell_length_a 4.8678
_cell_length_b 6.7913
_cell_length_c 10.8976
_cell_angle_alpha 135.63
_cell_angle_beta 102.91
_cell_angle_gamma 90.00
_symmetry_space_group_name_H-M 'P 1'
_symmetry_Int_Tables_number 1
loop_
_symmetry_equiv_pos_as_xyz
'x,y,z'
loop_
_atom_site_label
_atom_site_type_symbol
_atom_site_fract_x
_atom_site_fract_y
_atom_site_fract_z
Os1 Os 0.6628 0.0924 0.3257
Os2 Os 0.9980 0.2561 0.9959
Os3 Os 0.3372 0.9076 0.6743
Os4 Os 0.0020 0.7439 0.0041
Ce1 Ce 0.8270 0.1277 0.6539
Ce2 Ce 0.1655 0.3684 0.3310
Ce3 Ce 0.8345 0.6316 0.6690
Ce4 Ce 0.1730 0.8723 0.3461
Ce5 Ce 0.5000 0.5000 0.0000
Ho1 Ho 0.5000 0.0000 0.0000
```

Values from the calculation:
E in eV/atom: -8.06
Energy of formation from the pure elements in kJ per mole of atoms: -14.11
Spin magnetization in μB/cell: 1.4
Crystal system: monoclinic


Computed, not measured: an optimized crystal structure of MgTl2Cl at the PBE level of DFT.

```
data_MgTl2Cl
_chemical_formula_sum 'Mg1 Tl2 Cl1'
_cell_length_a 6.4200
_cell_length_b 6.4200
_cell_length_c 6.4200
_cell_angle_alpha 146.17
_cell_angle_beta 130.62
_cell_angle_gamma 61.20
_symmetry_space_group_name_H-M 'P 1'
_symmetry_Int_Tables_number 1
loop_
_symmetry_equiv_pos_as_xyz
'x,y,z'
loop_
_atom_site_label
_atom_site_type_symbol
_atom_site_fract_x
_atom_site_fract_y
_atom_site_fract_z
Mg1 Mg 0.2500 0.7500 0.5000
Cl1 Cl 0.7500 0.2500 0.5000
Tl1 Tl 0.4912 0.4912 0.0000
Tl2 Tl 0.0088 0.0088 0.0000
```

Values from the calculation:
Uncorrected formation energy in eV/atom: -0.278
E in eV/atom: -2.32
Relative energy among the computed polymorphs in eV/atom: 0.250
Spin magnetization in μB/cell: 0.0
Crystal system: orthorhombic


Computed, not measured: an optimized crystal structure of Th2GaSi3Ni12 at the PBE level of DFT.

```
data_Th2GaSi3Ni12
_chemical_formula_sum 'Th2 Ga1 Si3 Ni12'
_cell_length_a 6.3394
_cell_length_b 6.3394
_cell_length_c 6.3394
_cell_angle_alpha 83.89
_cell_angle_beta 83.89
_cell_angle_gamma 83.89
_symmetry_space_group_name_H-M 'P 1'
_symmetry_Int_Tables_number 1
loop_
_symmetry_equiv_pos_as_xyz
'x,y,z'
loop_
_atom_site_label
_atom_site_type_symbol
_atom_site_fract_x
_atom_site_fract_y
_atom_site_fract_z
Ni1 Ni 0.6160 0.0942 0.6160
Ni2 Ni 0.7061 0.1873 0.1873
Ni3 Ni 0.1873 0.1873 0.7061
Ni4 Ni 0.0942 0.6160 0.6160
Ni5 Ni 0.3840 0.9058 0.3840
Ni6 Ni 0.3840 0.3840 0.9058
Ni7 Ni 0.8127 0.2939 0.8127
Ni8 Ni 0.9058 0.3840 0.3840
Ni9 Ni 0.6160 0.6160 0.0942
Ni10 Ni 0.1873 0.7061 0.1873
Ni11 Ni 0.2939 0.8127 0.8127
Ni12 Ni 0.8127 0.8127 0.2939
Th1 Th 0.6553 0.6553 0.6553
Th2 Th 0.3447 0.3447 0.3447
Si1 Si 0.0000 0.0000 0.5000
Si2 Si 0.5000 0.0000 0.0000
Si3 Si 0.0000 0.5000 0.0000
Ga1 Ga 0.0000 0.0000 0.0000
```

Values from the calculation:
Uncorrected formation energy in eV/atom: -0.217
E in eV/atom: -5.97
Spin magnetization in μB/cell: 0.0
Crystal system: trigonal


Computed, not measured: an optimized crystal structure of Al2TlCr at the PBE level of DFT.

```
data_Al2TlCr
_chemical_formula_sum 'Al2 Tl1 Cr1'
_cell_length_a 5.0196
_cell_length_b 5.0196
_cell_length_c 4.9215
_cell_angle_alpha 78.89
_cell_angle_beta 78.89
_cell_angle_gamma 36.08
_symmetry_space_group_name_H-M 'P 1'
_symmetry_Int_Tables_number 1
loop_
_symmetry_equiv_pos_as_xyz
'x,y,z'
loop_
_atom_site_label
_atom_site_type_symbol
_atom_site_fract_x
_atom_site_fract_y
_atom_site_fract_z
Tl1 Tl 0.2500 0.2500 0.2500
Al1 Al 0.4834 0.4834 0.5388
Al2 Al 0.0166 0.0166 0.9612
Cr1 Cr 0.7500 0.7500 0.7500
```

Values from the calculation:
E in eV/atom: -4.53
Relative energy among the computed polymorphs in eV/atom: 0.177
Energy of formation from the pure elements in kJ per mole of atoms: 32.98
Spin magnetization in μB/cell: 2.4
Crystal system: monoclinic


Computed, not measured: an optimized crystal structure of Cs2NaTlF at the PBE level of DFT.

```
data_Cs2NaTlF
_chemical_formula_sum 'Cs2 Na1 Tl1 F1'
_cell_length_a 6.4945
_cell_length_b 6.4945
_cell_length_c 4.6908
_cell_angle_alpha 90.00
_cell_angle_beta 90.00
_cell_angle_gamma 90.00
_symmetry_space_group_name_H-M 'P 1'
_symmetry_Int_Tables_number 1
loop_
_symmetry_equiv_pos_as_xyz
'x,y,z'
loop_
_atom_site_label
_atom_site_type_symbol
_atom_site_fract_x
_atom_site_fract_y
_atom_site_fract_z
F1 F 0.0000 0.0000 0.0000
Tl1 Tl 0.5000 0.5000 0.5000
Cs1 Cs 0.5000 0.0000 0.0000
Cs2 Cs 0.0000 0.5000 0.0000
Na1 Na 0.0000 0.0000 0.5000
```

Values from the calculation:
Uncorrected formation energy in eV/atom: -0.947
E in eV/atom: -2.40
Spin magnetization in μB/cell: 1.0
Crystal system: tetragonal


Computed, not measured: an optimized crystal structure of YRuW2 at the PBE level of DFT.

```
data_YRuW2
_chemical_formula_sum 'Y1 Ru1 W2'
_cell_length_a 2.8703
_cell_length_b 4.6573
_cell_length_c 5.3789
_cell_angle_alpha 90.00
_cell_angle_beta 90.00
_cell_angle_gamma 90.00
_symmetry_space_group_name_H-M 'P 1'
_symmetry_Int_Tables_number 1
loop_
_symmetry_equiv_pos_as_xyz
'x,y,z'
loop_
_atom_site_label
_atom_site_type_symbol
_atom_site_fract_x
_atom_site_fract_y
_atom_site_fract_z
W1 W 0.0000 0.0000 0.5092
W2 W 0.0000 0.0000 0.9908
Ru1 Ru 0.5000 0.5000 0.7500
Y1 Y 0.5000 0.5000 0.2500
```

Values from the calculation:
E in eV/atom: -9.83
Relative energy among the computed polymorphs in eV/atom: 0.409
Energy of formation from the pure elements in kJ per mole of atoms: 56.16
Spin magnetization in μB/cell: 0.0
Crystal system: orthorhombic


Computed, not measured: an optimized crystal structure of Tb2PmIr9 at the PBE level of DFT.

```
data_Tb2PmIr9
_chemical_formula_sum 'Tb2 Pm1 Ir9'
_cell_length_a 5.3372
_cell_length_b 5.3372
_cell_length_c 9.3042
_cell_angle_alpha 73.33
_cell_angle_beta 73.33
_cell_angle_gamma 60.00
_symmetry_space_group_name_H-M 'P 1'
_symmetry_Int_Tables_number 1
loop_
_symmetry_equiv_pos_as_xyz
'x,y,z'
loop_
_atom_site_label
_atom_site_type_symbol
_atom_site_fract_x
_atom_site_fract_y
_atom_site_fract_z
Pm1 Pm 0.0000 0.0000 0.0000
Ir1 Ir 0.9169 0.4184 0.2464
Ir2 Ir 0.4184 0.4184 0.2464
Ir3 Ir 0.6673 0.6673 0.9982
Ir4 Ir 0.5816 0.0831 0.7536
Ir5 Ir 0.0831 0.5816 0.7536
Ir6 Ir 0.5816 0.5816 0.7536
Ir7 Ir 0.5000 0.5000 0.5000
Ir8 Ir 0.3327 0.3327 0.0018
Ir9 Ir 0.4184 0.9169 0.2464
Tb1 Tb 0.8606 0.8606 0.4183
Tb2 Tb 0.1394 0.1394 0.5817
```

Values from the calculation:
E in eV/atom: -8.39
Energy of formation from the pure elements in kJ per mole of atoms: -55.51
Spin magnetization in μB/cell: 0.0
Crystal system: trigonal


Computed, not measured: an optimized crystal structure of SiHgAu2 at the PBE level of DFT.

```
data_SiHgAu2
_chemical_formula_sum 'Si1 Hg1 Au2'
_cell_length_a 7.4987
_cell_length_b 5.6744
_cell_length_c 2.7920
_cell_angle_alpha 72.61
_cell_angle_beta 94.59
_cell_angle_gamma 132.88
_symmetry_space_group_name_H-M 'P 1'
_symmetry_Int_Tables_number 1
loop_
_symmetry_equiv_pos_as_xyz
'x,y,z'
loop_
_atom_site_label
_atom_site_type_symbol
_atom_site_fract_x
_atom_site_fract_y
_atom_site_fract_z
Si1 Si 0.5000 0.5000 0.0000
Au1 Au 0.0000 0.0000 0.0000
Au2 Au 0.5000 0.0000 0.5000
Hg1 Hg 0.0000 0.5000 0.5000
```

Values from the calculation:
Uncorrected formation energy in eV/atom: 0.265
E in eV/atom: -2.80
Relative energy among the computed polymorphs in eV/atom: 0.200
Spin magnetization in μB/cell: 0.0
Crystal system: monoclinic